1.
This record from Alexandria describes a geometry-optimized KAl2IrO6 structure. The functional is PBE-GGA.

Summary:
- energy relative to the elements, uncorrected (eV/atom) = -1.882
- final energy (eV per cell) = -132.02

abc: 6.8282 6.8282 5.7442
angles: 102.33 102.33 83.22
With the nearest neighbours (Å) after each atom.
Element x y z (fractional)
1 K 0.1829 0.8171 0.7500  8 O 2.64-2.74
2 K 0.8171 0.1829 0.2500  8 O 2.64-2.74
3 Al 0.1193 0.2944 0.7967  4 O 1.72-1.86
4 Al 0.2944 0.1193 0.2967  4 O 1.72-1.86
5 Al 0.7056 0.8807 0.7033  4 O 1.72-1.86
6 Al 0.8807 0.7056 0.2033  4 O 1.72-1.86
7 Ir 0.4106 0.5894 0.2500  6 O 1.93-2.10
8 Ir 0.5894 0.4106 0.7500  6 O 1.93-2.10
9 O 0.1366 0.6003 0.2929  1 Al 1.82, 1 Ir 1.93
10 O 0.1411 0.1727 0.0343  2 Al 1.72
11 O 0.1727 0.1411 0.5343  2 Al 1.72
12 O 0.3233 0.4702 0.8879  1 Al 1.86, 1 Ir 2.05
13 O 0.3997 0.8634 0.2071  1 Al 1.82, 1 Ir 1.93
14 O 0.4702 0.3233 0.3879  1 Al 1.86, 1 Ir 2.05
15 O 0.5298 0.6767 0.6121  1 Al 1.86, 1 Ir 2.05
16 O 0.6003 0.1366 0.7929  1 Al 1.82, 1 Ir 1.93
17 O 0.6767 0.5298 0.1121  1 Al 1.86, 1 Ir 2.05
18 O 0.8273 0.8589 0.4657  2 Al 1.72
19 O 0.8589 0.8273 0.9657  2 Al 1.72
20 O 0.8634 0.3997 0.7071  1 Al 1.82, 1 Ir 1.93

---

2.
This record from Alexandria describes a geometry-optimized OsPtPb2 structure. The functional is PBE-GGA.

Summary:
- offset from the most stable computed form (eV per formula unit) = 1.08
- energy relative to the elements (kcal/mol of atoms) = 15.30
- final energy (eV per cell) = -22.03

abc: 9.0059 9.0059 9.0059
angles: 20.94 20.94 20.94
With the nearest neighbours (Å) after each atom.
Element x y z (fractional)
1 Os 0.0000 0.0000 0.0000  6 Pb 2.85
2 Pt 0.5000 0.5000 0.5000  6 Pb 2.95, 6 Pt 3.27
3 Pb 0.2526 0.2526 0.2526  3 Os 2.85, 3 Pt 2.95
4 Pb 0.7474 0.7474 0.7474  3 Os 2.85, 3 Pt 2.95